Entry 1:
Crystalline NaPr2Hg6 at its relaxed geometry, computed with GGA-PBE.

Results
calculated formation energy	-229	kJ/mol of formula units
total magnetic moment	0.00	Bohr magnetons per cell
offset from the most stable computed form	86	meV per atom

Unit cell a=11.474 b=8.228 c=5.081 alpha=90.00 beta=90.20 gamma=90.00
Space group C2/m (No. 12)
One atom of each set of equivalent atoms:
Na1 0.000 0.000 0.000 x2
Pr1 0.247 0.000 0.498 x4
Hg1 0.000 0.214 0.500 x4
Hg2 0.133 0.320 0.002 x8


Entry 2:
Crystalline ZrBePtRh at its relaxed geometry, computed with GGA-PBE.

Results
calculated formation energy	-256	kJ/mol of formula units
total magnetic moment	0.00	Bohr magnetons per cell

Unit cell a=6.266 b=6.266 c=6.266 alpha=90.00 beta=90.00 gamma=90.00
Space group F-43m (No. 216)
One atom of each set of equivalent atoms:
Zr1 0.000 0.000 0.000 x4
Be1 0.000 0.000 0.500 x4
Pt1 0.250 0.250 0.250 x4
Rh1 0.250 0.250 0.750 x4


Entry 3:
Crystalline CaSn2Te3 at its relaxed geometry, computed with GGA-PBE.

Results
raw formation energy	-3.86	eV/f.u.
total magnetic moment	0.00	Bohr magnetons per cell
offset from the most stable computed form	79	meV per atom

Unit cell a=4.265 b=11.832 c=7.800 alpha=90.00 beta=90.00 gamma=90.00
Space group Pmc2_1 (No. 26)
One atom of each set of equivalent atoms:
Ca1 0.000 0.119 0.000 x2
Sn1 0.000 0.177 0.447 x2
Sn2 0.500 0.492 0.466 x2
Te1 0.000 0.374 0.679 x2
Te2 0.500 0.058 0.695 x2
Te3 0.500 0.287 0.182 x2


Entry 4:
Crystalline Li7Cd3Pb at its relaxed geometry, computed with GGA-PBE.

Results
calculated formation energy	-185	kJ/mol of formula units
total magnetic moment	0.00	Bohr magnetons per cell
offset from the most stable computed form	0	meV per atom

Unit cell a=3.177 b=19.148 c=14.708 alpha=90.00 beta=90.00 gamma=90.00
Space group Cmcm (No. 63)
One atom of each set of equivalent atoms:
Li1 0.000 0.070 0.080 x8
Li2 0.000 0.077 0.650 x8
Li3 0.000 0.153 0.250 x4
Li4 0.000 0.266 0.628 x8
Cd1 0.000 0.313 0.250 x4
Cd2 0.000 0.336 0.035 x8
Pb1 0.000 0.472 0.750 x4


Entry 5:
Crystalline PuBePO at its relaxed geometry, computed with GGA-PBE.

Results
raw formation energy	-6.48	eV/f.u.
total magnetic moment	9.99	Bohr magnetons per cell

Unit cell a=3.769 b=3.769 c=8.262 alpha=90.00 beta=90.00 gamma=90.00
Space group P4/nmm (No. 129, origin choice 2)
One atom of each set of equivalent atoms:
Pu1 0.250 0.250 0.156 x2
Be1 0.250 0.750 0.500 x2
P1 0.250 0.250 0.649 x2
O1 0.250 0.750 0.000 x2


Entry 6:
Crystalline CaAlSi4 at its relaxed geometry, computed with GGA-PBE.

Results
raw formation energy	0.35	eV/f.u.
total magnetic moment	0.00	Bohr magnetons per cell

Unit cell a=7.402 b=7.402 c=7.402 alpha=90.00 beta=90.00 gamma=90.00
Space group F-43m (No. 216)
One atom of each set of equivalent atoms:
Ca1 0.000 0.000 0.000 x4
Al1 0.250 0.250 0.250 x4
Si1 0.124 0.124 0.624 x16


Entry 7:
Crystalline LaV2AgRu at its relaxed geometry, computed with GGA-PBE.

Results
calculated formation energy	217	kJ/mol of formula units
total magnetic moment	3.69	Bohr magnetons per cell

Unit cell a=4.619 b=4.619 c=5.234 alpha=90.00 beta=90.00 gamma=90.00
Space group P4/mmm (No. 123)
One atom of each set of equivalent atoms:
La1 0.000 0.000 0.000 x1
V1 0.000 0.500 0.500 x2
Ag1 0.500 0.500 0.000 x1
Ru1 0.500 0.500 0.500 x1


Entry 8:
Crystalline CsK2PmCl6 at its relaxed geometry, computed with GGA-PBE.

Results
raw formation energy	-21.21	eV/f.u.
total magnetic moment	0.00	Bohr magnetons per cell

Unit cell a=7.790 b=8.215 c=13.673 alpha=90.00 beta=123.43 gamma=90.00
Space group P2_1/c (No. 14)
One atom of each set of equivalent atoms:
Cs1 0.000 0.000 0.000 x2
K1 0.285 0.077 0.750 x4
Pm1 0.500 0.000 0.500 x2
Cl1 0.136 0.071 0.292 x4
Cl2 0.307 0.675 0.080 x4
Cl3 0.439 0.226 0.091 x4


Entry 9:
Crystalline Sb2MoPb at its relaxed geometry, computed with GGA-PBE.

Results
raw formation energy	1.00	eV/f.u.
total magnetic moment	0.00	Bohr magnetons per cell

Unit cell a=3.415 b=3.795 c=16.280 alpha=90.00 beta=90.00 gamma=90.00
Space group Imm2 (No. 44)
One atom of each set of equivalent atoms:
Sb1 0.000 0.000 0.000 x2
Sb2 0.000 0.500 0.196 x2
Mo1 0.000 0.500 0.629 x2
Pb1 0.000 0.000 0.352 x2


Entry 10:
Crystalline Sm5Dy6Tl at its relaxed geometry, computed with GGA-PBE.

Results
calculated formation energy	-32	kJ/mol of formula units
total magnetic moment	0.00	Bohr magnetons per cell

Unit cell a=4.980 b=10.060 c=15.098 alpha=90.00 beta=90.00 gamma=90.00
Space group Immm (No. 71)
One atom of each set of equivalent atoms:
Sm1 0.000 0.000 0.000 x2
Sm2 0.000 0.000 0.332 x4
Sm3 0.000 0.500 0.337 x4
Dy1 0.000 0.244 0.500 x4
Dy2 0.000 0.254 0.165 x8
Tl1 0.000 0.500 0.000 x2


Entry 11:
Crystalline CsRb2BiAu at its relaxed geometry, computed with GGA-PBE.

Results
calculated formation energy	-94	kJ/mol of formula units
total magnetic moment	0.36	Bohr magnetons per cell
offset from the most stable computed form	0	meV per atom

Unit cell a=6.700 b=6.700 c=5.706 alpha=90.00 beta=90.00 gamma=90.00
Space group P4/mmm (No. 123)
One atom of each set of equivalent atoms:
Cs1 0.000 0.000 0.000 x1
Rb1 0.000 0.500 0.500 x2
Bi1 0.500 0.500 0.000 x1
Au1 0.500 0.500 0.500 x1


Entry 12:
Crystalline TaCu5Rh6 at its relaxed geometry, computed with GGA-PBE.

Results
calculated formation energy	-103	kJ/mol of formula units
total magnetic moment	0.00	Bohr magnetons per cell

Unit cell a=4.338 b=5.861 c=6.669 alpha=90.00 beta=104.03 gamma=90.00
Space group P2/m (No. 10)
One atom of each set of equivalent atoms:
Ta1 0.000 0.000 0.000 x1
Cu1 0.000 0.500 0.000 x1
Cu2 0.353 0.000 0.662 x2
Cu3 0.359 0.500 0.669 x2
Rh1 0.145 0.253 0.335 x4
Rh2 0.500 0.253 0.000 x2